The following is a PBEsol calculation of an optimized crystal structure of CaPt3Pb, from Alexandria via LeMat-Bulk.

- magnetization (μB/f.u.) = 0.0
- N(E_F) (states/eV/cell) = 3.07
- calculated total energy (eV for the cell shown) = -24.6
- V (Å³/f.u.) = 126.6
- space group = Pm-3m
- energy of formation from the pure elements (eV/atom) = 0.476

abc: 5.0211 5.0211 5.0211
angles: 90.00 90.00 90.00
Last column: nearest neighbours and their distance in Å.
Positions (direct):
Pt 0.0000 0.0000 0.5000  2 Pb 2.51
Pt 0.0000 0.5000 0.0000  2 Pb 2.51
Pt 0.5000 0.0000 0.0000  2 Pb 2.51
Ca 0.5000 0.5000 0.5000  12 Pt 3.55
Pb 0.0000 0.0000 0.0000  6 Pt 2.51